# BeReB

A geometry-optimized BeReB structure (PBE, the Open Quantum Materials Database).

Calculated values
V in Å³ per atom: 11.6
Crystal system: cubic
Total magnetization in μB per cell: 1.4
Raw total energy in eV/atom: -6.7488

Cell lengths 5.175, 5.175, 5.175 Å; angles 90.00, 90.00, 90.00 degrees
Space group F-43m (No. 216)
Inequivalent atoms, fractional coordinates:
Be  0.000  0.000  0.000 (multiplicity 4)
Re  0.250  0.250  0.750 (multiplicity 4)
B  0.000  0.000  0.500 (multiplicity 4)